(1)
A relaxed structure of CdSi2Sb. Source: Alexandria via LeMat-Bulk, functional PBE-GGA.

Cell: 3.7151 3.7151 6.1044 Å, 90.00 90.00 90.00°
Closest atoms and distances in Å follow each position.
Fractional positions:
Sb1 0.5000 0.5000 0.7500  2 Cd 3.05, 8 Si 3.18
Cd1 0.5000 0.5000 0.2500  8 Si 2.91, 2 Sb 3.05
Si1 0.0000 0.0000 0.4567  1 Si 2.52
Si2 0.0000 0.0000 0.0433  1 Si 2.52

Computed properties:
Formation energy without anion corrections = 540 meV per atom
Polymorph energy (0 for the lowest one) = 294 meV/atom
Magnetization = 0.00 μB/cell
Symmetry = No. 123



(2)
A relaxed structure of Cd2SiSb. Source: Alexandria via LeMat-Bulk, functional PBE-GGA.

Cell: 4.1384 6.2104 4.1376 Å, 70.71 89.53 109.29°
Closest atoms and distances in Å follow each position.
Fractional positions:
Sb1 0.0000 0.5000 0.5000  4 Si 2.91-2.94, 4 Cd 3.11
Cd1 0.0000 0.0000 0.0000  4 Cd 2.91-2.94, 2 Sb 3.11, 2 Si 3.11
Cd2 0.5000 0.0000 0.5000  4 Cd 2.91-2.94, 2 Si 3.11, 2 Sb 3.11
Si1 0.5000 0.5000 0.0000  4 Sb 2.91-2.94, 4 Cd 3.11

Computed properties:
Formation energy without anion corrections = 288 meV per atom
Polymorph energy (0 for the lowest one) = 55 meV/atom
Magnetization = 0.00 μB/cell
Symmetry = No. 69



(3)
A relaxed structure of Cd3SiSb. Source: Alexandria via LeMat-Bulk, functional PBE-GGA.

Cell: 5.5841 5.5841 5.5841 Å, 90.00 90.00 90.00°
Closest atoms and distances in Å follow each position.
Fractional positions:
Sb1 0.0000 0.0000 0.0000  6 Cd 2.79
Cd1 0.5000 0.0000 0.0000  2 Sb 2.79
Cd2 0.0000 0.5000 0.0000  2 Sb 2.79
Cd3 0.0000 0.0000 0.5000  2 Sb 2.79
Si1 0.5000 0.5000 0.5000  12 Cd 3.95

Computed properties:
Formation energy without anion corrections = 850 meV per atom
Polymorph energy (0 for the lowest one) = 410 meV/atom
Magnetization = 1.75 μB/cell
Symmetry = No. 221



(4)
A relaxed structure of Cd2SiSb. Source: Alexandria via LeMat-Bulk, functional PBE-GGA.

Cell: 3.2480 3.2480 8.6557 Å, 90.00 90.00 90.00°
Closest atoms and distances in Å follow each position.
Fractional positions:
Sb1 0.5000 0.5000 0.2500  4 Sb 3.25, 8 Cd 3.36
Cd1 0.0000 0.0000 0.5337  4 Si 2.96, 4 Cd 3.25
Cd2 0.0000 0.0000 0.9663  4 Si 2.96, 4 Cd 3.25
Si1 0.5000 0.5000 0.7500  8 Cd 2.96, 4 Si 3.25

Computed properties:
Formation energy without anion corrections = 319 meV per atom
Polymorph energy (0 for the lowest one) = 86 meV/atom
Magnetization = 0.00 μB/cell
Symmetry = No. 123



(5)
A relaxed structure of CdSi2Sb. Source: Alexandria via LeMat-Bulk, functional PBE-GGA.

Cell: 6.7179 6.7179 6.7179 Å, 149.05 145.23 47.23°
Closest atoms and distances in Å follow each position.
Fractional positions:
Sb1 0.2221 0.7221 0.5000  4 Si 2.89, 2 Cd 3.12
Si1 0.8086 0.3086 0.5000  2 Si 2.43
Si2 0.9416 0.9416 0.0000  2 Si 2.43
Cd1 0.5277 0.5277 0.0000  4 Si 2.89, 2 Sb 3.12

Computed properties:
Formation energy without anion corrections = 378 meV per atom
Polymorph energy (0 for the lowest one) = 132 meV/atom
Magnetization = 0.00 μB/cell
Symmetry = No. 44



(6)
A relaxed structure of Cd2SiSb. Source: Alexandria via LeMat-Bulk, functional PBE-GGA.

Cell: 3.1164 3.6425 8.0433 Å, 90.00 90.00 90.00°
Closest atoms and distances in Å follow each position.
Fractional positions:
Cd1 0.5000 0.5000 0.2359  6 Cd 3.12-3.17, 4 Sb 3.40
Cd2 0.0000 0.0000 0.9784  4 Si 3.02, 6 Cd 3.12-3.17
Sb1 0.0000 0.0000 0.5352  4 Si 2.96, 2 Sb 3.12
Si1 0.5000 0.5000 0.7505  4 Sb 2.96, 4 Cd 3.02, 2 Si 3.12

Computed properties:
Formation energy without anion corrections = 287 meV per atom
Polymorph energy (0 for the lowest one) = 54 meV/atom
Magnetization = 0.00 μB/cell
Symmetry = No. 25



(7)
A relaxed structure of Cd2SiSb. Source: Alexandria via LeMat-Bulk, functional PBE-GGA.

Cell: 4.3181 4.3181 4.9178 Å, 90.00 90.00 90.00°
Closest atoms and distances in Å follow each position.
Fractional positions:
Si1 0.0000 0.5000 0.5000  4 Sb 3.05, 8 Cd 3.27
Cd1 0.5000 0.5000 0.0000  4 Cd 3.05, 4 Sb 3.27, 4 Si 3.27
Cd2 0.0000 0.0000 0.0000  4 Cd 3.05, 4 Si 3.27, 4 Sb 3.27
Sb1 0.5000 0.0000 0.5000  4 Si 3.05, 8 Cd 3.27

Computed properties:
Formation energy without anion corrections = 333 meV per atom
Polymorph energy (0 for the lowest one) = 100 meV/atom
Magnetization = 0.00 μB/cell
Symmetry = No. 123



(8)
A relaxed structure of CdSiSb2. Source: Alexandria via LeMat-Bulk, functional PBE-GGA.

Cell: 3.1404 3.1404 9.7576 Å, 90.00 90.00 90.00°
Closest atoms and distances in Å follow each position.
Fractional positions:
Si1 0.0000 0.0000 0.5133  4 Cd 2.99, 4 Sb 3.09, 4 Si 3.14
Sb1 0.0000 0.0000 0.9749  4 Sb 3.14, 4 Cd 3.34
Sb2 0.5000 0.5000 0.2925  4 Si 3.09, 4 Sb 3.14
Cd1 0.5000 0.5000 0.7192  4 Si 2.99, 4 Cd 3.14, 4 Sb 3.34

Computed properties:
Formation energy without anion corrections = 362 meV per atom
Magnetization = 0.00 μB/cell
Symmetry = No. 99



(9)
A relaxed structure of CdSiSb2. Source: Alexandria via LeMat-Bulk, functional PBE-GGA.

Cell: 4.9225 4.9191 3.9284 Å, 90.00 90.00 90.00°
Closest atoms and distances in Å follow each position.
Fractional positions:
Si1 0.5000 0.0000 0.5000  8 Sb 3.15, 4 Cd 3.48
Cd1 0.0000 0.5000 0.5000  8 Sb 3.15, 4 Si 3.48
Sb1 0.5000 0.5000 0.0000  4 Si 3.15, 4 Cd 3.15, 4 Sb 3.48
Sb2 0.0000 0.0000 0.0000  4 Cd 3.15, 4 Si 3.15, 4 Sb 3.48

Computed properties:
Formation energy without anion corrections = 395 meV per atom
Magnetization = 0.00 μB/cell
Symmetry = No. 123



(10)
A relaxed structure of CdSi2Sb. Source: Alexandria via LeMat-Bulk, functional PBE-GGA.

Cell: 5.5813 5.5813 5.5813 Å, 140.81 129.11 66.05°
Closest atoms and distances in Å follow each position.
Fractional positions:
Si1 0.0098 0.0098 0.0000  2 Sb 2.93, 4 Si 3.05, 2 Cd 3.07
Si2 0.4902 0.4902 0.0000  2 Sb 2.93, 4 Si 3.05, 2 Cd 3.07
Sb1 0.2500 0.7500 0.5000  4 Si 2.93, 4 Cd 3.04
Cd1 0.7500 0.2500 0.5000  4 Sb 3.04, 8 Si 3.07-3.29

Computed properties:
Formation energy without anion corrections = 561 meV per atom
Polymorph energy (0 for the lowest one) = 315 meV/atom
Magnetization = 0.00 μB/cell
Symmetry = No. 71



(11)
A relaxed structure of CdSiSb2. Source: Alexandria via LeMat-Bulk, functional PBE-GGA.

Cell: 3.5299 3.5285 7.8710 Å, 90.00 90.00 90.00°
Closest atoms and distances in Å follow each position.
Fractional positions:
Sb1 0.0000 0.0000 0.0485  4 Si 2.96, 1 Sb 3.17
Sb2 0.0000 0.0000 0.4515  4 Si 2.96, 1 Sb 3.17
Si1 0.5000 0.5000 0.2500  8 Sb 2.96
Cd1 0.5000 0.5000 0.7500  8 Sb 3.43, 4 Cd 3.53

Computed properties:
Formation energy without anion corrections = 320 meV per atom
Magnetization = 0.00 μB/cell
Symmetry = No. 123



(12)
A relaxed structure of CdSiSb2. Source: Alexandria via LeMat-Bulk, functional PBE-GGA.

Cell: 3.1724 5.9018 6.4097 Å, 53.74 90.00 90.00°
Closest atoms and distances in Å follow each position.
Fractional positions:
Sb1 0.0000 0.0000 0.0000  6 Sb 3.17-3.35, 2 Cd 3.20, 4 Si 3.21
Sb2 0.5000 0.5000 0.0000  6 Sb 3.17-3.35, 2 Si 3.20, 4 Cd 3.21
Cd1 0.0000 0.0000 0.5000  2 Cd 3.17, 6 Sb 3.20-3.21, 4 Si 3.35
Si1 0.5000 0.5000 0.5000  2 Si 3.17, 6 Sb 3.20-3.21, 4 Cd 3.35

Computed properties:
Formation energy without anion corrections = 432 meV per atom
Magnetization = 0.00 μB/cell
Symmetry = No. 10